[1]
ZrTlSi2 | GGA-PBE | optimized geometry

Calculated values
For the energy above the most stable polymorph in this dataset, the calculation gives 0.440 eV/atom. The density of states at the Fermi level comes out at 4.330 states/eV/f.u.

abc: 7.553 7.553 5.932
angles: 90.00 90.00 90.00
Space group I-42d (No. 122)
Asymmetric unit:
Zr1 0.000 0.000 0.000 x4
Tl1 0.000 0.000 0.500 x4
Si1 0.247 0.250 0.125 x8



[2]
TiI2F | GGA-PBE | optimized geometry

Calculated values
For the energy above the most stable polymorph in this dataset, the calculation gives 0.015 eV/atom. The density of states at the Fermi level comes out at 7.230 states/eV/f.u.

abc: 6.997 6.997 6.997
angles: 90.00 90.00 90.00
Space group Fm-3m (No. 225)
Asymmetric unit:
Ti1 0.000 0.000 0.000 x4
I1 0.250 0.250 0.250 x8
F1 0.000 0.000 0.500 x4



[3]
Li2CaSi | GGA-PBE | optimized geometry

Calculated values
As for the total energy: -11.71 eV/cell. The density of states at the Fermi level comes out at 1.621 states/eV/f.u.

abc: 3.426 3.426 7.336
angles: 90.00 90.00 90.00
Space group P4mm (No. 99)
Asymmetric unit:
Li1 0.000 0.000 0.000 x1
Li2 0.500 0.500 0.206 x1
Ca1 0.500 0.500 0.637 x1
Si1 0.000 0.000 0.375 x1



[4]
ZrOs2Ru | GGA-PBE | optimized geometry

Calculated values
Its formation energy is -0.007 eV per atom. For the energy above the most stable polymorph in this dataset, the calculation gives 0.050 eV/atom. The density of states at the Fermi level comes out at 4.001 states/eV/f.u.

abc: 9.307 2.858 4.900
angles: 90.00 100.83 90.00
Space group Cm (No. 8)
Asymmetric unit:
Zr1 0.000 0.000 0.000 x2
Os1 0.000 0.500 0.509 x2
Os2 0.239 0.000 0.697 x2
Ru1 0.261 0.500 0.257 x2



[5]
Tb2ZnCo | GGA-PBE | optimized geometry

Calculated values
Its formation energy is -0.239 eV per atom. The density of states at the Fermi level comes out at 2.468 states/eV/f.u.

abc: 3.423 3.423 7.196
angles: 90.00 90.00 90.00
Space group P4/mmm (No. 123)
Asymmetric unit:
Tb1 0.000 0.000 0.228 x2
Zn1 0.500 0.500 0.500 x1
Co1 0.500 0.500 0.000 x1



[6]
ReW | GGA-PBE | optimized geometry

Calculated values
Its formation energy is 1.050 eV per atom. For the energy above the most stable polymorph in this dataset, the calculation gives 0.958 eV/atom. The density of states at the Fermi level comes out at 1.814 states/eV/f.u.

abc: 3.9988 3.9988 5.2906
angles: 90.00 90.00 120.00
Space group P6_3/mmc (No. 194)
Asymmetric unit:
Re1 0.3333 0.6667 0.2500 x2
W1 0.0000 0.0000 0.0000 x2



[7]
Nb6Pd5Au | GGA-PBE | optimized geometry

Calculated values
Its formation energy is -0.281 eV per atom. The density of states at the Fermi level comes out at 10.342 states/eV/f.u.

abc: 4.007 8.352 11.950
angles: 90.00 90.00 90.00
Space group Immm (No. 71)
Asymmetric unit:
Nb1 0.000 0.245 0.000 x4
Nb2 0.000 0.252 0.332 x8
Pd1 0.000 0.000 0.168 x4
Pd2 0.000 0.500 0.167 x4
Pd3 0.000 0.500 0.500 x2
Au1 0.000 0.000 0.500 x2



[8]
Rb2Tl3CdPb4 | GGA-PBE | optimized geometry

Calculated values
Its formation energy is -0.057 eV per atom. The density of states at the Fermi level comes out at 5.924 states/eV/f.u.

abc: 5.144 5.144 13.835
angles: 90.00 90.00 90.00
Space group P-4m2 (No. 115)
Asymmetric unit:
Rb1 0.000 0.500 0.244 x2
Tl1 0.000 0.000 0.000 x1
Tl2 0.000 0.500 0.643 x2
Cd1 0.500 0.500 0.000 x1
Pb1 0.000 0.000 0.500 x1
Pb2 0.000 0.500 0.871 x2
Pb3 0.500 0.500 0.500 x1



[9]
ZrH | GGA-PBE | optimized geometry

Calculated values
As for the total energy: -50.82 eV/cell. The density of states at the Fermi level comes out at 1.679 states/eV/f.u.

abc: 5.456 3.441 5.502
angles: 90.00 95.90 90.00
Space group C2/m (No. 12)
Asymmetric unit:
Zr1 0.000 0.000 0.000 x2
Zr2 0.000 0.500 0.500 x2
H1 0.137 0.000 0.363 x4



[10]
Fe2AsAu | GGA-PBE | optimized geometry

Calculated values
Its formation energy is 0.222 eV per atom. The density of states at the Fermi level comes out at 3.481 states/eV/f.u.

abc: 5.735 7.052 2.961
angles: 90.00 90.00 90.00
Space group Cmmm (No. 65)
Asymmetric unit:
Fe1 0.250 0.250 0.000 x4
As1 0.000 0.000 0.500 x2
Au1 0.000 0.500 0.500 x2



[11]
LiCaPuS3 | GGA-PBE | optimized geometry

Calculated values
As for the total energy: -81.25 eV/cell. The density of states at the Fermi level comes out at 9.583 states/eV/f.u.

abc: 8.182 3.945 8.408
angles: 90.00 100.96 90.00
Space group P2_1/m (No. 11)
Asymmetric unit:
Li1 0.086 0.250 0.081 x2
Ca1 0.179 0.250 0.724 x2
Pu1 0.334 0.750 0.329 x2
S1 0.106 0.250 0.366 x2
S2 0.211 0.750 0.997 x2
S3 0.428 0.750 0.663 x2



[12]
AcDy2In3Te6 | GGA-PBE | optimized geometry

Calculated values
As for the total energy: -104.51 eV/cell.

abc: 7.873 13.603 8.518
angles: 90.00 107.91 90.00
Space group C2/m (No. 12)
Asymmetric unit:
Ac1 0.000 0.000 0.000 x2
Dy1 0.000 0.333 0.000 x4
In1 0.000 0.162 0.500 x4
In2 0.000 0.500 0.500 x2
Te1 0.220 0.500 0.219 x4
Te2 0.248 0.324 0.775 x8